# GGA+U Nb3CrO, optimized geometry
data_Nb3CrO
_space_group_name_H-M_alt 'P m -3 m'
_space_group_IT_number 221
_space_group_name_Hall '-P 4 2 3'
_cell_length_a 4.287
_cell_length_b 4.287
_cell_length_c 4.287
_cell_angle_alpha 90.00
_cell_angle_beta 90.00
_cell_angle_gamma 90.00
loop_
_atom_site_label
_atom_site_fract_x
_atom_site_fract_y
_atom_site_fract_z
_atom_site_occupancy
Nb1 0.000 0.000 0.500 1
Cr1 0.500 0.500 0.500 1
O1 0.000 0.000 0.000 1
# Spin magnetization (μB per formula unit): 3.5
# Total energy (eV per atom): -8.953